This record from Alexandria describes an optimized crystal structure of HoU2CuS6. The functional is PBE.

a = 6.4733 Å, b = 6.1398 Å, c = 6.1398 Å
α = 90.00°, β = 90.00°, γ = 90.00°
Positions (direct):
Ho 0.5672 0.5000 0.5000
U 0.9977 0.5000 0.0000
U 0.9977 0.0000 0.5000
Cu 0.5343 0.0000 0.0000
S 0.7500 0.2370 0.2370
S 0.7500 0.2370 0.7630
S 0.1609 0.5000 0.5000
S 0.1892 0.0000 0.0000
S 0.7500 0.7630 0.7630
S 0.7500 0.7630 0.2370

Output
Magnetization = 4.1 μB per formula unit
SG = P4mm (99)
Uncorrected formation energy = -0.974 eV per atom